LaY2ErTl2 | Alexandria via LeMat-Bulk | GGA-PBE | optimized geometry; ΔE_f = -0.2863 eV/atom; space-group type = Pmc2_1 (26)
1.0
5.1730 0.0000 0.0000
0.0000 6.8625 0.0000
0.0000 0.0000 10.1264
La Er Tl Y
2 2 4 4
direct
0.0000 0.9551 0.4555
0.0000 0.4551 0.5445
0.5000 0.6778 0.3039
0.5000 0.1778 0.6961
0.0000 0.7983 0.1319
0.5000 0.2234 0.3608
0.0000 0.2983 0.8681
0.5000 0.7234 0.6392
0.5000 0.0516 0.0465
0.0000 0.3394 0.1812
0.0000 0.8394 0.8188
0.5000 0.5516 0.9535